The following is a DFT calculation (GGA-PBE) of an optimized crystal structure of La3Sm6Ho2Tm.

Cell: 6.2878 10.9003 12.0382 Å, 90.00 100.07 90.00°
Closest atoms and distances in Å follow each position.
Space group C2/m (No. 12)
Asymmetric unit:
La  0.0000  0.0000  0.0000 [2 per cell]  6 La 3.63, 6 Sm 3.70
La  0.0000  0.3333  0.0000 [4 per cell]  6 La 3.63-3.64, 6 Sm 3.70
Sm  0.2473  0.3335  0.7430 [8 per cell]  1 Tm 3.56, 2 Ho 3.56-3.57, 6 Sm 3.63-3.64, 3 La 3.70
Sm  0.2479  0.0000  0.7431 [4 per cell]  2 Ho 3.56, 1 Tm 3.56, 6 Sm 3.63-3.64, 3 La 3.70
Ho  0.0000  0.1666  0.5000 [4 per cell]  6 Sm 3.56-3.57, 3 Tm 3.63, 3 Ho 3.63
Tm  0.0000  0.5000  0.5000 [2 per cell]  6 Sm 3.56, 6 Ho 3.63

Summary:
Formation energy from the elements ... 0.02 eV per atom